(1)
The following is a DFT calculation (PBE) of an optimized crystal structure of In3PbS.

- N(E_F): 4.024 states/eV/cell

Unit cell a=5.8068 b=5.8068 c=5.8068 alpha=90.00 beta=90.00 gamma=90.00
Positions (direct):
Pb (0.0000, 0.0000, 0.0000)
S (0.5000, 0.5000, 0.5000)
In (0.0000, 0.5000, 0.0000)
In (0.0000, 0.0000, 0.5000)
In (0.5000, 0.0000, 0.0000)

(2)
The following is a DFT calculation (PBE) of an optimized crystal structure of InPbS2.

- N(E_F): 1.551 states/eV/cell

Unit cell a=3.8088 b=3.8088 c=7.9104 alpha=76.07 beta=76.07 gamma=60.00
Positions (direct):
In (0.6667, 0.6667, 0.0000)
Pb (0.4986, 0.4986, 0.5042)
S (0.0682, 0.0682, 0.7955)
S (0.2665, 0.2665, 0.2004)

(3)
The following is a DFT calculation (PBE) of an optimized crystal structure of In3SbPb2S8.

Unit cell a=7.7574 b=7.7574 c=8.7617 alpha=63.72 beta=63.72 gamma=60.00
Positions (direct):
In (0.4976, 0.0060, 0.9987)
In (0.0060, 0.4976, 0.9987)
In (0.4976, 0.4976, 0.9987)
Sb (0.8852, 0.8852, 0.3444)
Pb (0.1282, 0.1282, 0.6153)
Pb (0.4883, 0.4883, 0.5350)
S (0.2734, 0.2734, 0.1799)
S (0.7202, 0.7202, 0.8394)
S (0.2468, 0.2468, 0.7908)
S (0.7156, 0.2468, 0.7908)
S (0.2468, 0.7156, 0.7908)
S (0.7589, 0.2692, 0.2131)
S (0.2692, 0.7589, 0.2131)
S (0.7589, 0.7589, 0.2131)

(4)
The following is a DFT calculation (PBE) of an optimized crystal structure of InSbPb2S5.

Unit cell a=4.0471 b=9.3687 c=12.3612 alpha=90.00 beta=90.00 gamma=102.47
Positions (direct):
In (0.5587, 0.1174, 0.9494)
In (0.4413, 0.8826, 0.4494)
Sb (0.7811, 0.5623, 0.5183)
Sb (0.2189, 0.4377, 0.0183)
Pb (0.8822, 0.7643, 0.8008)
Pb (0.1249, 0.2499, 0.6818)
Pb (0.1178, 0.2357, 0.3008)
Pb (0.8751, 0.7501, 0.1818)
S (0.3560, 0.7120, 0.0066)
S (0.6831, 0.3663, 0.8583)
S (0.4897, 0.9794, 0.7795)
S (0.2823, 0.5646, 0.6634)
S (0.9543, 0.9086, 0.5659)
S (0.6440, 0.2880, 0.5066)
S (0.3169, 0.6337, 0.3583)
S (0.5103, 0.0206, 0.2795)
S (0.7177, 0.4354, 0.1634)
S (0.0457, 0.0914, 0.0659)

no.,E_form (uncorrected) (kJ per mole of atoms),size of the total moment (Bohr magnetons per cell)
1,55,0.000
2,-39,0.000
3,-44,0.000
4,-43,0.000